--- w ---
DFT (GGA-PBEsol) results for crystalline LiTa2Br at its relaxed geometry.

It has space group I-4m2 (No. 119), with a = 3.965 Å, b = 3.965 Å, c = 8.515 Å, α = 90.00°, β = 90.00° and γ = 90.00°. The inequivalent atoms are Li at (0.000, 0.000, 0.000), Ta at (0.000, 0.000, 0.500), Ta at (0.000, 0.500, 0.250) and Br at (0.000, 0.500, 0.750).

The total magnetic moment is 0.00 μB per formula unit. The calculation puts the density at 11133 kg/m³.

--- x ---
DFT (GGA-PBEsol) results for crystalline LiTa2Br at its relaxed geometry.

It has space group Cmmm (No. 65), with a = 5.407 Å, b = 8.781 Å, c = 2.909 Å, α = 90.00°, β = 90.00° and γ = 90.00°. The inequivalent atoms are Li at (0.000, 0.000, 0.000), Ta at (0.250, 0.250, 0.500) and Br at (0.000, 0.500, 0.000).

The total magnetic moment is 0.00 μB per formula unit. The calculation puts the density at 10788 kg/m³.

Of the structures shown above, x is the most stable.